Record 1
Compound: CsTa2I
Source: Alexandria
Functional: GGA-PBE
Structure: relaxed

## Properties
Energy relative to the elements, uncorrected, kJ per mole of atoms: 189.94
Magnetization, μB/atom: 0.000
Energy above the lowest structure with this stoichiometry, meV/atom: 0.0

Structure (POSCAR):
```
CsTa2I
1.0
-0.225 -6.808 5.228
5.543 3.878 5.289
0.263 -0.181 6.828
Ta I Cs
4 2 2
Direct
0.875 0.808 0.750
0.375 0.442 0.750
0.192 0.625 0.250
0.558 0.125 0.250
0.500 0.500 0.000
0.250 0.750 0.500
0.750 0.250 0.500
0.000 0.000 0.000
```



Record 2
Compound: CsTa2I
Source: Alexandria
Functional: GGA-PBE
Structure: relaxed

## Properties
Energy relative to the elements, uncorrected, kJ per mole of atoms: 195.30
Magnetization, μB/atom: 0.000
Energy above the lowest structure with this stoichiometry, meV/atom: 55.6

Structure (POSCAR):
```
CsTa2I
1.0
4.246 0.791 2.573
0.104 3.413 3.690
0.351 -1.487 4.790
Ta I Cs
2 1 1
Direct
0.750 0.750 0.750
0.250 0.250 0.250
0.000 0.000 0.000
0.500 0.500 0.500
```



Record 3
Compound: CsTaI4
Source: Alexandria
Functional: GGA-PBE
Structure: relaxed

## Properties
Energy relative to the elements, uncorrected, kJ per mole of atoms: -63.47
Magnetization, μB/atom: 0.169

Structure (POSCAR):
```
CsTaI4
1.0
6.824 -0.421 -2.741
-0.967 7.298 -3.527
-1.630 0.456 10.839
I Cs Ta
8 2 2
Direct
0.000 0.274 0.000
0.865 0.313 0.627
0.591 0.820 0.200
0.409 0.620 0.800
0.591 0.380 0.200
0.135 0.687 0.373
0.000 0.726 0.000
0.409 0.180 0.800
0.170 0.194 0.387
0.830 0.806 0.613
0.273 0.476 0.951
0.727 0.524 0.049
```



Record 4
Compound: CsTaI2
Source: Alexandria
Functional: GGA-PBE
Structure: relaxed

## Properties
Energy relative to the elements, uncorrected, kJ per mole of atoms: 26.10
Magnetization, μB/atom: 0.985
Energy above the lowest structure with this stoichiometry, meV/atom: 0.0

Structure (POSCAR):
```
CsTaI2
1.0
7.225 0.000 0.000
0.000 7.225 0.000
3.613 3.613 8.043
I Ta Cs
4 2 2
Direct
0.375 0.259 0.750
0.009 0.625 0.250
0.741 0.125 0.250
0.875 0.991 0.750
0.750 0.250 0.500
0.000 0.000 0.000
0.500 0.500 0.000
0.250 0.750 0.500
```



Record 5
Compound: Cs3TaI6
Source: Alexandria
Functional: GGA-PBE
Structure: relaxed

## Properties
Energy relative to the elements, uncorrected, kJ per mole of atoms: -93.11
Magnetization, μB/atom: 0.200

Structure (POSCAR):
```
Cs3TaI6
1.0
9.115 0.000 0.000
0.000 9.115 0.000
4.557 4.557 6.445
I Ta Cs
6 1 3
Direct
0.220 0.220 0.559
0.220 0.220 0.000
0.780 0.780 0.000
0.780 0.780 0.441
0.220 0.780 0.000
0.780 0.220 0.000
0.000 0.000 0.000
0.500 0.500 0.000
0.750 0.250 0.500
0.250 0.750 0.500
```



Record 6
Compound: Cs2TaI7
Source: Alexandria
Functional: GGA-PBE
Structure: relaxed

## Properties
Energy relative to the elements, uncorrected, kJ per mole of atoms: -73.94
Magnetization, μB/atom: 0.000
Energy above the lowest structure with this stoichiometry, meV/atom: 3.8

Structure (POSCAR):
```
Cs2TaI7
1.0
9.189 0.000 0.000
0.000 9.189 0.000
4.595 4.595 6.502
Cs I Ta
2 7 1
Direct
0.750 0.250 0.500
0.250 0.750 0.500
0.214 0.214 0.000
0.214 0.214 0.572
0.500 0.500 0.000
0.214 0.786 0.000
0.786 0.786 0.428
0.786 0.786 0.000
0.786 0.214 0.000
0.000 0.000 0.000
```



Going through the records in order, we get final energy values of -36.469, -18.012, -45.707, -29.449, -33.364, -32.074 eV per cell.